(1)
## K2ScPb (PBE)

Data for a relaxed structure of K2ScPb.

```
data_K2ScPb
_chemical_formula_sum 'K4 Sc2 Pb2'
_cell_length_a 5.028
_cell_length_b 6.280
_cell_length_c 10.230
_cell_angle_alpha 90.00
_cell_angle_beta 90.00
_cell_angle_gamma 90.00
_symmetry_space_group_name_H-M 'I m m 2'
_symmetry_Int_Tables_number 44
_symmetry_space_group_name_Hall 'I 2 -2'
loop_
_atom_site_label
_atom_site_type_symbol
_atom_site_fract_x
_atom_site_fract_y
_atom_site_fract_z
K1 K 0.000 0.000 0.000
K2 K 0.000 0.500 0.208
Sc1 Sc 0.000 0.000 0.410
Pb1 Pb 0.000 0.500 0.769
```

Calculated values
- formation enthalpy at 0 K (eV/atom) = 0.167
- magnetization (μB/f.u.) = 0.91

=====

(2)
## KScPb (PBE)

Data for a relaxed structure of KScPb.

```
data_KScPb
_chemical_formula_sum 'K1 Sc1 Pb1'
_cell_length_a 5.3472
_cell_length_b 5.3472
_cell_length_c 3.9418
_cell_angle_alpha 90.00
_cell_angle_beta 90.00
_cell_angle_gamma 120.00
_symmetry_space_group_name_H-M 'P -6 m 2'
_symmetry_Int_Tables_number 187
_symmetry_space_group_name_Hall 'P -6 2'
loop_
_atom_site_label
_atom_site_type_symbol
_atom_site_fract_x
_atom_site_fract_y
_atom_site_fract_z
K1 K 0.0000 0.0000 0.0000
Sc1 Sc 0.3333 0.6667 0.5000
Pb1 Pb 0.6667 0.3333 0.5000
```

Calculated values
- formation enthalpy at 0 K (eV/atom) = 0.105
- magnetization (μB/f.u.) = 0.00
- energy above the lowest structure with this stoichiometry (eV/atom) = 0.356

=====

(3)
## KScPb (PBE)

Data for a relaxed structure of KScPb.

```
data_KScPb
_chemical_formula_sum 'K2 Sc2 Pb2'
_cell_length_a 3.782
_cell_length_b 5.251
_cell_length_c 9.796
_cell_angle_alpha 90.00
_cell_angle_beta 90.00
_cell_angle_gamma 90.00
_symmetry_space_group_name_H-M 'P m m n'
_symmetry_Int_Tables_number 59
loop_
_symmetry_equiv_pos_as_xyz
'x,y,z'
'-x,-y,-z'
'-x+1/2,-y+1/2,z'
'x+1/2,y+1/2,-z'
'x+1/2,-y,-z'
'-x+1/2,y,z'
'-x,y+1/2,-z'
'x,-y+1/2,z'
loop_
_atom_site_label
_atom_site_type_symbol
_atom_site_fract_x
_atom_site_fract_y
_atom_site_fract_z
K1 K 0.250 0.250 0.119
Sc1 Sc 0.250 0.750 0.546
Pb1 Pb 0.250 0.250 0.711
```

Calculated values
- formation enthalpy at 0 K (eV/atom) = -0.145
- magnetization (μB/f.u.) = 0.31
- energy above the lowest structure with this stoichiometry (eV/atom) = 0.106

=====

(4)
## KSc4Pb (PBE)

Data for a relaxed structure of KSc4Pb.

```
data_KSc4Pb
_chemical_formula_sum 'K4 Sc16 Pb4'
_cell_length_a 8.824
_cell_length_b 8.824
_cell_length_c 8.824
_cell_angle_alpha 90.00
_cell_angle_beta 90.00
_cell_angle_gamma 90.00
_symmetry_space_group_name_H-M 'F -4 3 m'
_symmetry_Int_Tables_number 216
_symmetry_space_group_name_Hall 'F -4 2 3'
loop_
_atom_site_label
_atom_site_type_symbol
_atom_site_fract_x
_atom_site_fract_y
_atom_site_fract_z
K1 K 0.000 0.000 0.000
Sc1 Sc 0.123 0.123 0.377
Pb1 Pb 0.250 0.250 0.750
```

Calculated values
- formation enthalpy at 0 K (eV/atom) = 0.354
- magnetization (μB/f.u.) = 0.00

=====

(5)
## KScPb3 (PBE)

Data for a relaxed structure of KScPb3.

```
data_KScPb3
_chemical_formula_sum 'K1 Sc1 Pb3'
_cell_length_a 5.759
_cell_length_b 5.759
_cell_length_c 5.759
_cell_angle_alpha 90.00
_cell_angle_beta 90.00
_cell_angle_gamma 90.00
_symmetry_space_group_name_H-M 'P m -3 m'
_symmetry_Int_Tables_number 221
_symmetry_space_group_name_Hall '-P 4 2 3'
loop_
_atom_site_label
_atom_site_type_symbol
_atom_site_fract_x
_atom_site_fract_y
_atom_site_fract_z
K1 K 0.000 0.000 0.000
Sc1 Sc 0.500 0.500 0.500
Pb1 Pb 0.000 0.000 0.500
```

Calculated values
- formation enthalpy at 0 K (eV/atom) = 0.997
- magnetization (μB/f.u.) = 0.00
- energy above the lowest structure with this stoichiometry (eV/atom) = 1.011

=====

(6)
## KScPb3 (PBE)

Data for a relaxed structure of KScPb3.

```
data_KScPb3
_chemical_formula_sum 'K1 Sc1 Pb3'
_cell_length_a 5.702
_cell_length_b 5.702
_cell_length_c 5.702
_cell_angle_alpha 90.00
_cell_angle_beta 90.00
_cell_angle_gamma 90.00
_symmetry_space_group_name_H-M 'P m -3 m'
_symmetry_Int_Tables_number 221
_symmetry_space_group_name_Hall '-P 4 2 3'
loop_
_atom_site_label
_atom_site_type_symbol
_atom_site_fract_x
_atom_site_fract_y
_atom_site_fract_z
K1 K 0.000 0.000 0.000
Sc1 Sc 0.500 0.500 0.500
Pb1 Pb 0.000 0.500 0.500
```

Calculated values
- formation enthalpy at 0 K (eV/atom) = -0.014
- magnetization (μB/f.u.) = 0.00
- energy above the lowest structure with this stoichiometry (eV/atom) = 0.000

=====

(7)
## KScPb (PBE)

Data for a relaxed structure of KScPb.

```
data_KScPb
_chemical_formula_sum 'K2 Sc2 Pb2'
_cell_length_a 4.109
_cell_length_b 4.109
_cell_length_c 13.342
_cell_angle_alpha 90.00
_cell_angle_beta 90.00
_cell_angle_gamma 90.00
_symmetry_space_group_name_H-M 'I 4 m m'
_symmetry_Int_Tables_number 107
_symmetry_space_group_name_Hall 'I 4 -2'
loop_
_atom_site_label
_atom_site_type_symbol
_atom_site_fract_x
_atom_site_fract_y
_atom_site_fract_z
K1 K 0.000 0.000 0.000
Sc1 Sc 0.000 0.000 0.264
Pb1 Pb 0.000 0.000 0.725
```

Calculated values
- formation enthalpy at 0 K (eV/atom) = -0.007
- magnetization (μB/f.u.) = 0.00
- energy above the lowest structure with this stoichiometry (eV/atom) = 0.245

=====

(8)
## KScPb (PBE)

Data for a relaxed structure of KScPb.

```
data_KScPb
_chemical_formula_sum 'K2 Sc2 Pb2'
_cell_length_a 6.413
_cell_length_b 3.466
_cell_length_c 8.757
_cell_angle_alpha 90.00
_cell_angle_beta 90.00
_cell_angle_gamma 90.00
_symmetry_space_group_name_H-M 'P m m a'
_symmetry_Int_Tables_number 51
_symmetry_space_group_name_Hall '-P 2a 2a'
loop_
_atom_site_label
_atom_site_type_symbol
_atom_site_fract_x
_atom_site_fract_y
_atom_site_fract_z
K1 K 0.250 0.000 0.114
Sc1 Sc 0.000 0.000 0.500
Pb1 Pb 0.250 0.500 0.733
```

Calculated values
- formation enthalpy at 0 K (eV/atom) = -0.082
- magnetization (μB/f.u.) = 0.63
- energy above the lowest structure with this stoichiometry (eV/atom) = 0.169

=====

(9)
## KScPb (PBE)

Data for a relaxed structure of KScPb.

```
data_KScPb
_chemical_formula_sum 'K2 Sc2 Pb2'
_cell_length_a 3.498
_cell_length_b 4.537
_cell_length_c 13.433
_cell_angle_alpha 90.08
_cell_angle_beta 97.26
_cell_angle_gamma 90.00
_symmetry_space_group_name_H-M 'P -1'
_symmetry_Int_Tables_number 2
_symmetry_space_group_name_Hall '-P 1'
loop_
_atom_site_label
_atom_site_type_symbol
_atom_site_fract_x
_atom_site_fract_y
_atom_site_fract_z
K1 K 0.081 0.248 0.153
Sc1 Sc 0.216 0.250 0.431
Pb1 Pb 0.329 0.251 0.663
```

Calculated values
- formation enthalpy at 0 K (eV/atom) = -0.229
- magnetization (μB/f.u.) = 0.12
- energy above the lowest structure with this stoichiometry (eV/atom) = 0.023

=====

(10)
## KScPb (PBE)

Data for a relaxed structure of KScPb.

```
data_KScPb
_chemical_formula_sum 'K4 Sc4 Pb4'
_cell_length_a 7.354
_cell_length_b 7.354
_cell_length_c 7.354
_cell_angle_alpha 90.00
_cell_angle_beta 90.00
_cell_angle_gamma 90.00
_symmetry_space_group_name_H-M 'F -4 3 m'
_symmetry_Int_Tables_number 216
_symmetry_space_group_name_Hall 'F -4 2 3'
loop_
_atom_site_label
_atom_site_type_symbol
_atom_site_fract_x
_atom_site_fract_y
_atom_site_fract_z
K1 K 0.000 0.000 0.000
Sc1 Sc 0.250 0.250 0.250
Pb1 Pb 0.000 0.000 0.500
```

Calculated values
- formation enthalpy at 0 K (eV/atom) = 0.255
- magnetization (μB/f.u.) = 0.00
- energy above the lowest structure with this stoichiometry (eV/atom) = 0.507

=====

(11)
## KScPb (PBE)

Data for a relaxed structure of KScPb.

```
data_KScPb
_chemical_formula_sum 'K4 Sc4 Pb4'
_cell_length_a 7.568
_cell_length_b 7.568
_cell_length_c 7.568
_cell_angle_alpha 90.00
_cell_angle_beta 90.00
_cell_angle_gamma 90.00
_symmetry_space_group_name_H-M 'F -4 3 m'
_symmetry_Int_Tables_number 216
_symmetry_space_group_name_Hall 'F -4 2 3'
loop_
_atom_site_label
_atom_site_type_symbol
_atom_site_fract_x
_atom_site_fract_y
_atom_site_fract_z
K1 K 0.000 0.000 0.000
Sc1 Sc 0.000 0.000 0.500
Pb1 Pb 0.250 0.250 0.750
```

Calculated values
- formation enthalpy at 0 K (eV/atom) = 0.187
- magnetization (μB/f.u.) = 0.00
- energy above the lowest structure with this stoichiometry (eV/atom) = 0.438

=====

(12)
## KScPb (PBE)

Data for a relaxed structure of KScPb.

```
data_KScPb
_chemical_formula_sum 'K2 Sc2 Pb2'
_cell_length_a 3.505
_cell_length_b 4.535
_cell_length_c 13.268
_cell_angle_alpha 90.00
_cell_angle_beta 90.43
_cell_angle_gamma 90.00
_symmetry_space_group_name_H-M 'P 1 21/m 1'
_symmetry_Int_Tables_number 11
_symmetry_space_group_name_Hall '-P 2yb'
loop_
_atom_site_label
_atom_site_type_symbol
_atom_site_fract_x
_atom_site_fract_y
_atom_site_fract_z
K1 K 0.240 0.250 0.151
Sc1 Sc 0.248 0.250 0.431
Pb1 Pb 0.255 0.250 0.664
```

Calculated values
- formation enthalpy at 0 K (eV/atom) = -0.230
- magnetization (μB/f.u.) = 0.12
- energy above the lowest structure with this stoichiometry (eV/atom) = 0.022

=====

(13)
## K2ScPb (PBE)

Data for a relaxed structure of K2ScPb.

```
data_K2ScPb
_chemical_formula_sum 'K6 Sc3 Pb3'
_cell_length_a 3.5805
_cell_length_b 3.5805
_cell_length_c 39.4403
_cell_angle_alpha 90.00
_cell_angle_beta 90.00
_cell_angle_gamma 120.00
_symmetry_space_group_name_H-M 'R -3 m'
_symmetry_Int_Tables_number 166
_symmetry_space_group_name_Hall '-R 3 2"'
loop_
_atom_site_label
_atom_site_type_symbol
_atom_site_fract_x
_atom_site_fract_y
_atom_site_fract_z
K1 K 0.0000 0.0000 0.2462
Sc1 Sc 0.0000 0.0000 0.0000
Pb1 Pb 0.0000 0.0000 0.5000
```

Calculated values
- formation enthalpy at 0 K (eV/atom) = 0.356
- magnetization (μB/f.u.) = 1.39

=====

(14)
## K2ScPb (PBE)

Data for a relaxed structure of K2ScPb.

```
data_K2ScPb
_chemical_formula_sum 'K8 Sc4 Pb4'
_cell_length_a 12.633
_cell_length_b 12.633
_cell_length_c 5.667
_cell_angle_alpha 90.00
_cell_angle_beta 90.00
_cell_angle_gamma 90.00
_symmetry_space_group_name_H-M 'I -4 2 d'
_symmetry_Int_Tables_number 122
_symmetry_space_group_name_Hall 'I -4 2bw'
loop_
_atom_site_label
_atom_site_type_symbol
_atom_site_fract_x
_atom_site_fract_y
_atom_site_fract_z
K1 K 0.110 0.750 0.125
Sc1 Sc 0.000 0.000 0.500
Pb1 Pb 0.000 0.000 0.000
```

Calculated values
- formation enthalpy at 0 K (eV/atom) = 0.319
- magnetization (μB/f.u.) = 0.93

=====

| no. | final energy (eV for the cell shown) |
| --- | --- |
| 1 | -23.14 |
| 2 | -10.82 |
| 3 | -23.15 |
| 4 | -112.03 |
| 5 | -13.57 |
| 6 | -18.63 |
| 7 | -22.31 |
| 8 | -22.77 |
| 9 | -23.65 |
| 10 | -41.48 |
| 11 | -42.31 |
| 12 | -23.65 |
| 13 | -32.43 |
| 14 | -43.83 |